First-principles (PBE) data for a relaxed TbErPS crystal, as listed in Alexandria via LeMat-Bulk. Values from VASP.

- uncorrected formation energy (meV per atom) = -1865.6
- E (eV per atom) = -6.5482

Structure (Quantum ESPRESSO input):
```
&SYSTEM
  ibrav = 0, nat = 4, ntyp = 4
/
ATOMIC_SPECIES
Tb 158.93 Tb.upf
Er 167.26 Er.upf
P 30.97 P.upf
S 32.06 S.upf
ATOMIC_POSITIONS angstrom
Tb 0.000 0.000 0.000
Er 0.000 0.000 9.836
P 0.000 0.000 4.888
S 0.000 0.000 14.664
CELL_PARAMETERS angstrom
1.974 1.140 6.478
-1.974 1.140 6.478
0.000 -2.279 6.478
```

***

First-principles (PBE) data for a relaxed HoCu2Ni6 crystal, as listed in Alexandria via LeMat-Bulk. Values from VASP.

- E (eV per atom) = -4.7233

Structure (Quantum ESPRESSO input):
```
&SYSTEM
  ibrav = 0, nat = 18, ntyp = 3
/
ATOMIC_SPECIES
Ho 164.93 Ho.upf
Cu 63.55 Cu.upf
Ni 58.69 Ni.upf
ATOMIC_POSITIONS angstrom
Ho 1.299 1.299 1.299
Ho 9.093 9.093 9.093
Cu 5.196 2.598 2.598
Cu 2.598 5.196 2.598
Cu 2.598 2.598 5.196
Cu 5.196 5.196 5.196
Ni 3.897 3.897 1.229
Ni 3.897 1.229 3.897
Ni 6.565 3.897 3.897
Ni 6.495 6.495 3.826
Ni 6.495 3.826 6.495
Ni 9.163 6.495 6.495
Ni 1.229 3.897 3.897
Ni 3.897 6.565 3.897
Ni 3.897 3.897 6.565
Ni 3.826 6.495 6.495
Ni 6.495 9.163 6.495
Ni 6.495 6.495 9.163
CELL_PARAMETERS angstrom
0.000 5.196 5.196
5.196 0.000 5.196
5.196 5.196 0.000
```

***

First-principles (PBE) data for a relaxed YTmCoCu crystal, as listed in Alexandria via LeMat-Bulk. Values from VASP.

- E (eV per atom) = -5.7651

Structure (Quantum ESPRESSO input):
```
&SYSTEM
  ibrav = 0, nat = 4, ntyp = 4
/
ATOMIC_SPECIES
Y 88.91 Y.upf
Tm 168.93 Tm.upf
Co 58.93 Co.upf
Cu 63.55 Cu.upf
ATOMIC_POSITIONS angstrom
Y 0.000 0.000 0.000
Tm 2.052 0.000 7.383
Co 0.000 0.000 2.914
Cu 2.052 0.000 4.340
CELL_PARAMETERS angstrom
4.104 0.000 0.000
0.000 1.921 5.145
0.000 -1.921 5.145
```